Computed, not measured: a relaxed structure of SrZn2CoO4 at the PBE+U level of DFT.

Computed properties:
Magnetic moment in μB/f.u.: 3.0
Final energy in eV per atom: -5.24

Cell: 5.737 5.737 5.737 Å, 76.03 128.37 128.37°
Fractional coordinates of all 8 atoms:
Sr  0.000  0.000  0.000
O  0.569  0.427  0.427
O  0.000  0.142  0.573
O  0.000  0.573  0.142
Zn  0.500  0.250  0.750
Zn  0.500  0.750  0.250
Co  0.000  0.500  0.500
O  0.431  0.858  0.858

***

Computed, not measured: a relaxed structure of Sr12Zn2Co6O25 at the PBE+U level of DFT.

Computed properties:
Magnetic moment in μB/f.u.: 20.1
Final energy in eV per atom: -5.92

Cell: 7.842 7.842 10.403 Å, 79.09 79.09 90.00°
Fractional coordinates of all 45 atoms:
Sr  0.164  0.164  0.359
O  0.398  0.905  0.395
O  0.045  0.783  0.818
Sr  0.165  0.657  0.356
Co  0.948  0.447  0.210
O  0.095  0.602  0.605
O  0.541  0.804  0.835
Sr  0.758  0.242  0.000
O  0.721  0.458  0.167
O  0.196  0.459  0.165
Sr  0.343  0.835  0.644
O  0.542  0.279  0.833
O  0.279  0.542  0.833
Sr  0.243  0.243  0.999
O  0.905  0.398  0.395
Zn  0.449  0.449  0.202
O  0.000  0.000  0.000
O  0.691  0.955  0.184
O  0.804  0.541  0.835
Sr  0.343  0.343  0.642
Sr  0.835  0.343  0.644
O  0.458  0.721  0.167
O  0.955  0.217  0.182
Sr  0.757  0.757  0.001
O  0.217  0.955  0.182
O  0.602  0.095  0.605
O  0.459  0.196  0.165
O  0.396  0.396  0.399
O  0.955  0.691  0.184
Sr  0.242  0.758  0.000
Sr  0.657  0.657  0.358
Co  0.052  0.553  0.790
Zn  0.551  0.551  0.798
O  0.309  0.045  0.816
Co  0.447  0.948  0.210
O  0.908  0.908  0.377
O  0.783  0.045  0.818
Co  0.048  0.048  0.806
O  0.604  0.604  0.601
O  0.092  0.092  0.623
Co  0.952  0.952  0.194
Co  0.553  0.052  0.790
Sr  0.657  0.165  0.356
Sr  0.836  0.836  0.641
O  0.045  0.309  0.816

***

Computed, not measured: a relaxed structure of Sr3ZnCo2O6 at the PBE+U level of DFT.

Computed properties:
Magnetic moment in μB/f.u.: 6.0
Final energy in eV per atom: -5.49

Cell: 5.882 5.882 6.398 Å, 90.00 90.00 120.00°
Fractional coordinates of all 12 atoms:
Sr  0.667  0.333  0.347
Sr  0.333  0.667  0.653
Zn  0.000  0.000  0.500
O  0.837  0.163  0.706
O  0.163  0.837  0.294
O  0.163  0.326  0.294
O  0.837  0.674  0.706
Co  0.333  0.667  0.208
Sr  0.000  0.000  0.000
Co  0.667  0.333  0.792
O  0.326  0.163  0.706
O  0.674  0.837  0.294

***

Computed, not measured: a relaxed structure of Sr2ZrCoO6 at the PBE+U level of DFT.

Computed properties:
Offset from the most stable computed form in meV/atom: 0
Magnetic moment in μB/f.u.: 3.0

Cell: 4.121 4.121 7.839 Å, 90.00 90.00 90.00°
Fractional coordinates of all 10 atoms:
O  0.000  0.500  0.500
O  0.500  0.000  0.000
O  0.500  0.000  0.500
Sr  0.000  0.000  0.277
Zr  0.500  0.500  0.000
O  0.500  0.500  0.730
Co  0.500  0.500  0.500
Sr  0.000  0.000  0.723
O  0.500  0.500  0.270
O  0.000  0.500  0.000

***

Computed, not measured: a relaxed structure of Sr2ZrCoO6 at the PBE+U level of DFT.

Computed properties:
Offset from the most stable computed form in meV/atom: 3
Magnetic moment in μB/f.u.: 1.0

Cell: 5.620 5.620 5.620 Å, 60.00 60.00 60.00°
Fractional coordinates of all 10 atoms:
O  0.762  0.762  0.238
O  0.238  0.762  0.762
O  0.238  0.762  0.238
O  0.762  0.238  0.762
O  0.762  0.238  0.238
Co  0.000  0.000  0.000
O  0.238  0.238  0.762
Sr  0.250  0.250  0.250
Zr  0.500  0.500  0.500
Sr  0.750  0.750  0.750

***

Computed, not measured: a relaxed structure of Ta2CoO6 at the PBE+U level of DFT.

Computed properties:
Offset from the most stable computed form in meV/atom: 15
Magnetic moment in μB/f.u.: 3.0

Cell: 4.605 8.784 8.784 Å, 120.00 90.00 90.00°
Fractional coordinates of all 27 atoms:
Co  0.000  0.000  0.000
Co  0.495  0.667  0.333
Ta  0.000  0.000  0.360
O  0.764  0.233  0.113
O  0.739  0.901  0.457
Ta  0.500  0.000  0.693
O  0.764  0.887  0.120
O  0.742  0.210  0.430
O  0.258  0.790  0.220
Ta  0.500  0.307  0.307
O  0.261  0.099  0.557
O  0.258  0.780  0.570
Ta  0.000  0.640  0.640
O  0.236  0.120  0.887
O  0.236  0.767  0.880
O  0.261  0.443  0.543
O  0.258  0.430  0.210
Co  0.505  0.333  0.667
O  0.739  0.543  0.443
O  0.739  0.557  0.099
O  0.261  0.457  0.901
O  0.764  0.880  0.767
Ta  0.500  0.693  0.000
O  0.236  0.113  0.233
O  0.742  0.220  0.790
O  0.742  0.570  0.780
Ta  0.000  0.360  0.000

***

Computed, not measured: a relaxed structure of Ta2CoO6 at the PBE+U level of DFT.

Computed properties:
Offset from the most stable computed form in meV/atom: 0
Magnetic moment in μB/f.u.: 3.0

Cell: 4.802 4.802 9.200 Å, 90.00 90.00 90.00°
Fractional coordinates of all 18 atoms:
Co  0.000  0.000  0.000
O  0.705  0.295  0.323
O  0.205  0.205  0.823
O  0.295  0.705  0.677
Ta  0.500  0.500  0.169
O  0.811  0.811  0.500
O  0.295  0.705  0.323
O  0.705  0.295  0.677
O  0.795  0.795  0.177
Ta  0.000  0.000  0.669
Co  0.500  0.500  0.500
O  0.205  0.205  0.177
O  0.689  0.311  0.000
O  0.189  0.189  0.500
Ta  0.500  0.500  0.831
O  0.795  0.795  0.823
O  0.311  0.689  0.000
Ta  0.000  0.000  0.331

***

Computed, not measured: a relaxed structure of TaTiCoO6 at the PBE+U level of DFT.

Computed properties:
Magnetic moment in μB/f.u.: 0.0
Final energy in eV per atom: -8.38

Cell: 4.628 4.628 8.933 Å, 90.00 90.00 90.00°
Fractional coordinates of all 18 atoms:
Ta  0.500  0.500  0.834
O  0.692  0.692  0.335
O  0.196  0.804  0.163
Ti  0.500  0.500  0.171
O  0.304  0.304  0.663
O  0.192  0.808  0.835
O  0.299  0.299  0.000
O  0.808  0.192  0.835
Co  0.500  0.500  0.500
O  0.701  0.701  0.000
O  0.799  0.201  0.500
Ta  0.000  0.000  0.334
O  0.201  0.799  0.500
Co  0.000  0.000  0.000
O  0.696  0.696  0.663
Ti  0.000  0.000  0.671
O  0.804  0.196  0.163
O  0.308  0.308  0.335